[1]
Density functional theory data (GGA-PBEsol) for a geometry-optimized Y2Zn2Sn structure.

## Properties
Formation energy from the elements ... -2.81 eV/f.u.
Space-group type ... P4/mbm, No. 127

Lattice parameters (Å, degrees): 7.028 7.028 4.408 90.00 90.00 90.00
Positions (direct):
Y: 0.172 0.328 0.000
Y: 0.328 0.828 0.000
Y: 0.672 0.172 0.000
Y: 0.828 0.672 0.000
Zn: 0.123 0.623 0.500
Zn: 0.377 0.123 0.500
Zn: 0.623 0.877 0.500
Zn: 0.877 0.377 0.500
Sn: 0.000 0.000 0.500
Sn: 0.500 0.500 0.500



[2]
Density functional theory data (GGA-PBEsol) for a geometry-optimized CsCuCl3 structure.

## Properties
ΔE_f (raw) ... -1.122 eV/atom
Space-group type ... P6_122, No. 178

Lattice parameters (Å, degrees): 7.131 7.131 17.939 90.00 90.00 120.00
Positions (direct):
Cs: 0.290 0.645 0.083
Cs: 0.355 0.645 0.417
Cs: 0.355 0.710 0.750
Cs: 0.645 0.290 0.250
Cs: 0.645 0.355 0.917
Cs: 0.710 0.355 0.583
Cu: 0.000 0.066 0.833
Cu: 0.000 0.934 0.333
Cu: 0.066 0.000 0.500
Cu: 0.066 0.066 0.667
Cu: 0.934 0.000 0.000
Cu: 0.934 0.934 0.167
Cl: 0.109 0.217 0.250
Cl: 0.109 0.891 0.917
Cl: 0.149 0.363 0.908
Cl: 0.149 0.786 0.259
Cl: 0.214 0.363 0.592
Cl: 0.214 0.851 0.574
Cl: 0.217 0.109 0.083
Cl: 0.363 0.149 0.426
Cl: 0.363 0.214 0.741
Cl: 0.637 0.786 0.241
Cl: 0.637 0.851 0.926
Cl: 0.783 0.891 0.583
Cl: 0.786 0.149 0.074
Cl: 0.786 0.637 0.092
Cl: 0.851 0.214 0.759
Cl: 0.851 0.637 0.408
Cl: 0.891 0.109 0.417
Cl: 0.891 0.783 0.750



[3]
Density functional theory data (GGA-PBEsol) for a geometry-optimized Eu2TiNbO6 structure.

## Properties
ΔE_f (raw) ... -2.988 eV/atom
Space-group type ... Fm-3m, No. 225

Lattice parameters (Å, degrees): 5.600 5.600 5.600 60.00 60.00 60.00
Positions (direct):
Eu: 0.250 0.250 0.250
Eu: 0.750 0.750 0.750
Ti: 0.000 0.000 0.000
Nb: 0.500 0.500 0.500
O: 0.247 0.247 0.753
O: 0.247 0.753 0.247
O: 0.247 0.753 0.753
O: 0.753 0.247 0.247
O: 0.753 0.247 0.753
O: 0.753 0.753 0.247